A geometry-optimized Nd5Ho2Er12 structure. Source: Alexandria via LeMat-Bulk, functional PBE.

Cell lengths 6.263, 9.024, 10.900 Å; angles 87.24, 82.25, 87.90 degrees
Fractional positions:
1 Nd 0.000 0.000 0.000
2 Nd 0.122 0.987 0.345
3 Nd 0.274 0.550 0.942
4 Nd 0.726 0.450 0.058
5 Nd 0.878 0.013 0.655
6 Ho 0.456 0.495 0.346
7 Ho 0.544 0.505 0.654
8 Er 0.013 0.342 0.768
9 Er 0.074 0.663 0.549
10 Er 0.183 0.295 0.161
11 Er 0.355 0.857 0.749
12 Er 0.399 0.175 0.556
13 Er 0.497 0.824 0.114
14 Er 0.503 0.176 0.886
15 Er 0.601 0.825 0.444
16 Er 0.645 0.143 0.251
17 Er 0.817 0.705 0.839
18 Er 0.926 0.337 0.451
19 Er 0.987 0.658 0.232

Results
E_form = 0.063 eV/atom
V = 32.07 A^3/atom
Total moment = 0.000 μB per atom
Space-group type = P-1, No. 2
Raw total energy = -4.56 eV/atom